(1)
{
  "formula": "CsCuH2F8",
  "functional": "PBE",
  "state": "relaxed",
  "cell": [[5.0391, 1.1839, 0.5308], [1.2306, 5.0187, 0.5503], [0.7993, 0.8416, 8.2447]],
  "species": ["F", "F", "F", "F", "F", "F", "Cu", "H", "F", "H", "F", "Cs"],
  "frac_coords": [[0.7669, 0.2318, 0.8444], [0.2104, 0.2119, 0.9367], [0.3203, 0.3168, 0.6291], [0.7896, 0.7881, 0.0633], [0.7679, 0.2341, 0.1528], [0.2331, 0.7682, 0.1556], [0.0000, 0.0000, 0.0000], [0.2797, 0.2764, 0.7504], [0.2321, 0.7659, 0.8472], [0.7203, 0.7236, 0.2496], [0.6797, 0.6832, 0.3709], [0.0000, 0.0000, 0.5000]],
  "energy_ev_per_atom": -3.71
}


(2)
{
  "formula": "Cs2CuHF6",
  "functional": "PBE",
  "state": "relaxed",
  "cell": [[-2.2383, -5.1736, -0.3723], [1.9541, -4.1657, 3.2777], [-8.0492, -0.2728, 9.3206]],
  "species": ["F", "F", "Cs", "F", "Cu", "F", "F", "Cs", "F", "F", "H", "F", "Cs", "Cu", "F", "F", "H", "F", "F", "Cs"],
  "frac_coords": [[0.3455, 0.7832, 0.0882], [0.7832, 0.7832, 0.0882], [0.1200, 0.1200, 0.6402], [0.8440, 0.3736, 0.4088], [0.5000, 0.5000, 0.5000], [0.7832, 0.3455, 0.0882], [0.3736, 0.8440, 0.4088], [0.7269, 0.7269, 0.8192], [0.1560, 0.6264, 0.5912], [0.2168, 0.2168, 0.9118], [0.3613, 0.3613, 0.9160], [0.6545, 0.2168, 0.9118], [0.8800, 0.8800, 0.3598], [0.0000, 0.0000, 0.0000], [0.6264, 0.1560, 0.5912], [0.3736, 0.3736, 0.4088], [0.6387, 0.6387, 0.0840], [0.6264, 0.6264, 0.5912], [0.2168, 0.6545, 0.9118], [0.2731, 0.2731, 0.1808]],
  "dos_ef_per_ev_cell": 7.7,
  "energy_ev_per_atom": -3.91
}


(3)
{
  "formula": "CsHfCu2F8",
  "functional": "PBE",
  "state": "relaxed",
  "cell": [[-1.6511, 3.3398, -4.1818], [-1.2854, -2.1899, -4.9920], [-9.1313, -0.5215, -0.5618]],
  "species": ["F", "F", "Cu", "F", "F", "F", "F", "Cu", "F", "Hf", "F", "Cs"],
  "frac_coords": [[0.6180, 0.6220, 0.6381], [0.3320, 0.3320, 0.0041], [0.2606, 0.2606, 0.2182], [0.3780, 0.3820, 0.3619], [0.6220, 0.1219, 0.6381], [0.1219, 0.6180, 0.6381], [0.3820, 0.8781, 0.3619], [0.7394, 0.7394, 0.7818], [0.8781, 0.3780, 0.3619], [0.5000, 0.5000, 0.5000], [0.6680, 0.6680, 0.9959], [0.0000, 0.0000, 0.0000]],
  "dos_ef_per_ev_cell": 14.0,
  "raw_formation_energy_mev_per_atom": -2552
}


(4)
{
  "formula": "Cs2Cu3HgF12",
  "functional": "PBE",
  "state": "relaxed",
  "cell": [[-6.5753, 1.1392, 3.3423], [-5.7641, -4.4890, -1.5256], [-2.4204, -4.8149, 5.1635]],
  "species": ["Cs", "F", "F", "F", "F", "Cu", "Cs", "F", "Hg", "F", "Cu", "F", "F", "F", "F", "F", "Cu", "F"],
  "frac_coords": [[0.3857, 0.3857, 0.3857], [0.0827, 0.7026, 0.7026], [0.6221, 0.0970, 0.0970], [0.9173, 0.2974, 0.2974], [0.7026, 0.7026, 0.0827], [0.0000, 0.5000, 0.0000], [0.6143, 0.6143, 0.6143], [0.2974, 0.2974, 0.9173], [0.0000, 0.0000, 0.0000], [0.0970, 0.0970, 0.6221], [0.0000, 0.0000, 0.5000], [0.9030, 0.9030, 0.3779], [0.2974, 0.9173, 0.2974], [0.3779, 0.9030, 0.9030], [0.9030, 0.3779, 0.9030], [0.0970, 0.6221, 0.0970], [0.5000, 0.0000, 0.0000], [0.7026, 0.0827, 0.7026]],
  "dos_ef_per_ev_cell": 5.5,
  "raw_formation_energy_mev_per_atom": -1813
}